Version 1
The following is a SCAN calculation of a PBEsol-optimized structure of Ir2SeBr, from Alexandria.

ρ in g/cm³: 12.9
N(E_F) in states/eV/atom: 0.973

Cell and atoms, written as POSCAR:
```
Ir2SeBr
1.0
1.4002 -2.5592 0.0000
1.4002 2.5592 0.0000
0.0000 0.0000 9.7864
Ir Se Br
2 1 1
Direct
0.0000 0.0000 0.0000
0.5000 0.5000 0.2264
0.0000 0.0000 0.4441
0.5000 0.5000 0.7726
```

***

Version 2
The following is a SCAN calculation of a PBEsol-optimized structure of Ir2SeBr, from Alexandria.

ρ in g/cm³: 14.0
N(E_F) in states/eV/atom: 0.662

Cell and atoms, written as POSCAR:
```
Ir2SeBr
1.0
-1.9000 1.9000 4.4614
1.9000 -1.9000 4.4614
1.9000 1.9000 -4.4614
Ir Se Br
2 1 1
Direct
0.0000 0.0000 0.0000
0.7500 0.2500 0.5000
0.5000 0.5000 0.0000
0.2500 0.7500 0.5000
```

***

Most stable structure - version 1; separation to the second - 569 meV/atom.

***

Version 1
The following is a SCAN calculation of a PBEsol-optimized structure of Ir2SeBr, from Alexandria.

ρ in g/cm³: 12.8
N(E_F) in states/eV/atom: 0.765

Cell and atoms, written as POSCAR:
```
Ir2SeBr
1.0
2.7960 0.0000 0.0000
0.0000 4.1012 0.0000
0.0000 0.0000 6.1614
Ir Se Br
2 1 1
Direct
0.0000 0.0000 0.2197
0.0000 0.0000 0.7803
0.0000 0.5000 0.0000
0.0000 0.5000 0.5000
```

***

Version 2
The following is a SCAN calculation of a PBEsol-optimized structure of Ir2SeBr, from Alexandria.

ρ in g/cm³: 14.2
N(E_F) in states/eV/atom: 0.940

Cell and atoms, written as POSCAR:
```
Ir2SeBr
1.0
-2.1535 2.1535 3.4341
2.1535 -2.1535 3.4341
2.1535 2.1535 -3.4341
Ir Se Br
2 1 1
Direct
0.2500 0.7500 0.5000
0.7500 0.2500 0.5000
0.0000 0.0000 0.0000
0.5000 0.5000 0.0000
```

***

Most stable structure - version 1; separation to the second - 370 meV/atom.